Record 1
The following is a PBE calculation of a relaxed structure of Li2SiHgSe4, from Alexandria.

Cell and atoms, written as POSCAR:
```
Li2SiHgSe4
1.0
-2.914 2.914 5.825
2.914 -2.914 5.825
2.914 2.914 -5.825
Li Si Hg Se
2 1 1 4
Cartesian
2.914 0.000 2.912 Li
0.000 2.914 2.912 Li
0.000 0.000 0.000 Si
0.000 0.000 5.825 Hg
1.270 1.270 -1.440 Se
1.644 -1.644 7.264 Se
1.644 1.644 4.385 Se
-1.644 1.644 7.264 Se
```

Calculated values
Magnetization: 0.00 μB per cell
Calculated density: 4.686 g cm⁻³
Energy relative to the elements, uncorrected: -0.7247 eV/atom

---

Record 2
The following is a PBE calculation of a relaxed structure of LiSn2HgSe4, from Alexandria.

Cell and atoms, written as POSCAR:
```
LiSn2HgSe4
1.0
0.000 5.758 4.104
4.121 0.000 4.104
4.121 5.758 0.000
Li Sn Hg Se
1 2 1 4
Cartesian
0.000 0.000 0.000 Li
2.060 2.879 2.051 Sn
6.181 8.637 6.155 Sn
4.121 5.758 4.092 Hg
4.121 2.789 4.103 Se
6.179 5.758 6.152 Se
4.121 8.727 4.103 Se
2.063 5.758 6.152 Se
```

Calculated values
Magnetization: 0.00 μB per cell
Calculated density: 6.487 g cm⁻³
Energy relative to the elements, uncorrected: -0.4672 eV/atom

---

Record 3
The following is a PBE calculation of a relaxed structure of Li2SnHgSe4, from Alexandria.

Cell and atoms, written as POSCAR:
```
Li2SnHgSe4
1.0
8.489 0.000 0.000
0.000 7.347 0.000
0.000 0.000 6.974
Li Sn Hg Se
4 2 2 8
Cartesian
2.107 1.274 0.000 Li
2.138 6.073 3.487 Li
6.352 6.073 3.487 Li
6.382 1.274 0.000 Li
0.000 4.919 6.953 Sn
4.245 2.427 3.466 Sn
0.000 2.533 3.457 Hg
4.245 4.814 6.944 Hg
0.000 2.476 6.179 Se
0.000 5.069 2.550 Se
2.053 6.192 6.061 Se
2.191 1.155 2.574 Se
4.245 2.277 6.037 Se
4.245 4.870 2.692 Se
6.298 1.155 2.574 Se
6.436 6.192 6.061 Se
```

Calculated values
Magnetization: 0.00 μB per cell
Calculated density: 4.955 g cm⁻³
Energy relative to the elements, uncorrected: -0.6926 eV/atom

---

Record 4
The following is a PBE calculation of a relaxed structure of LiTa2Hg2Se6, from Alexandria.

Cell and atoms, written as POSCAR:
```
LiTa2Hg2Se6
1.0
3.143 -5.565 0.000
3.143 5.565 0.000
-2.967 0.000 8.761
Li Ta Hg Se
1 2 2 6
Cartesian
0.000 0.000 0.000 Li
3.143 1.797 0.000 Ta
3.143 -1.797 0.000 Ta
1.660 2.768 4.381 Hg
1.660 -2.768 4.381 Hg
2.096 3.638 1.510 Se
1.224 3.638 7.251 Se
2.190 0.000 1.581 Se
1.129 0.000 7.180 Se
2.096 -3.638 1.510 Se
1.224 -3.638 7.251 Se
```

Calculated values
Magnetization: 0.00 μB per cell
Calculated density: 6.738 g cm⁻³
Energy relative to the elements, uncorrected: -0.5782 eV/atom